Below is a relaxed structure of AlSbO, with properties calculated at the GGA-PBE level.

Summary:
The calculation puts the raw total energy at -5.643 eV/atom. The calculated density comes out at 4.80 Mg/m³. As for the magnetic moment: 0.00 μB per formula unit.

Cell: 3.0585 3.0585 8.5315 Å, 59.95 59.95 61.52°
Last column: nearest neighbours and their distance in Å.
Positions (direct):
Al 0.2377 0.2377 0.5397  3 O 1.88-1.89
O 0.4905 0.4905 0.6292  3 Al 1.88-1.89
Sb 0.2780 0.2780 0.1837  3 Al 2.92-3.11, 6 Sb 3.06-3.13